A plane-wave DFT calculation with PBE-GGA was carried out for crystalline Nd7GeS5 at its relaxed geometry.

Values from the calculation:
- density of states at the Fermi level (states/eV per cell) = 14.88
- ΔE_f (raw) (eV per atom) = -1.70
- energy (eV/atom) = -6.214
- SG = C2/m
- density (g/cm³) = 6.25

Unit cell a=4.1055 b=6.9743 c=24.1353 alpha=90.03 beta=90.00 gamma=107.12
With the nearest neighbours (Å) after each atom.
Positions (direct):
S 0.7266 0.4532 0.9288  6 Nd 2.82-2.89
S 0.5477 0.0954 0.1426  6 Nd 2.81-2.88
S 0.7267 0.4534 0.5712  6 Nd 2.82-2.90
S 0.4532 0.9065 0.6426  6 Nd 2.81-2.88
S 0.0002 0.0005 0.5000  6 Nd 2.89-2.96
S 0.5473 0.0945 0.3574  6 Nd 2.81-2.88
S 0.4529 0.9059 0.8574  6 Nd 2.81-2.88
S 0.0003 0.0006 0.0000  6 Nd 2.89-2.95
S 0.2740 0.5480 0.0712  6 Nd 2.82-2.89
S 0.2738 0.5476 0.4288  6 Nd 2.82-2.90
Ge 0.8041 0.6081 0.2503  6 Nd 2.98-3.13
Ge 0.1966 0.3931 0.7497  6 Nd 2.98-3.13
Nd 0.1854 0.3707 0.3225  3 S 2.82-2.88, 2 Ge 3.12
Nd 0.1858 0.3715 0.1775  3 S 2.82-2.88, 2 Ge 3.13
Nd 0.0922 0.1843 0.6116  5 S 2.86-2.96
Nd 0.6371 0.2741 0.4631  6 S 2.82-2.89
Nd 0.9088 0.8175 0.1115  5 S 2.86-2.95
Nd 0.6373 0.2746 0.0369  6 S 2.82-2.89
Nd 0.8149 0.6297 0.8225  3 S 2.82-2.88, 2 Ge 3.13
Nd 0.3633 0.7267 0.9631  6 S 2.82-2.89
Nd 0.3634 0.7269 0.5369  6 S 2.82-2.89
Nd 0.9083 0.8167 0.3884  5 S 2.86-2.96
Nd 0.5348 0.0697 0.7500  2 S 2.81, 2 Ge 2.98
Nd 0.0919 0.1837 0.8885  5 S 2.86-2.95
Nd 0.8152 0.6304 0.6775  3 S 2.82-2.88, 2 Ge 3.12
Nd 0.4658 0.9315 0.2500  2 S 2.81, 2 Ge 2.98